Entry 1:
Entry from Alexandria via LeMat-Bulk: a geometry-optimized Sr2HgPd4Pb3 structure (GGA-PBE). Values from VASP.

The formation energy comes out at -4.71 eV per formula unit. The total energy is -40.3 eV for the cell shown. Its space group is P-4m2, No. 115. For the mass density, the calculation gives 9.311 g/cm3.

Cell and atoms, written as Quantum ESPRESSO input:
```
&SYSTEM
  ibrav = 0, nat = 10, ntyp = 4
/
ATOMIC_SPECIES
Pb 207.20 Pb.upf
Hg 200.59 Hg.upf
Pd 106.42 Pd.upf
Sr 87.62 Sr.upf
ATOMIC_POSITIONS angstrom
Pb 0.000 0.000 5.208
Hg 2.468 2.468 5.208
Pb 0.000 2.468 1.224
Pd 0.000 2.468 3.913
Pd 0.000 0.000 0.000
Sr 2.468 0.000 2.550
Sr 0.000 2.468 7.867
Pd 2.468 0.000 6.504
Pb 2.468 0.000 9.193
Pd 2.468 2.468 0.000
CELL_PARAMETERS angstrom
4.936 0.000 0.000
0.000 4.936 0.000
0.000 0.000 10.417
```

Entry 2:
Entry from Alexandria via LeMat-Bulk: a geometry-optimized SrHgPd2Pb2 structure (GGA-PBE). Values from VASP.

The formation energy comes out at -1.36 eV per formula unit. The total energy is -21.1 eV for the cell shown. Its space group is I4/mmm, No. 139. For the mass density, the calculation gives 8.607 g/cm3.

Cell and atoms, written as Quantum ESPRESSO input:
```
&SYSTEM
  ibrav = 0, nat = 6, ntyp = 4
/
ATOMIC_SPECIES
Pb 207.20 Pb.upf
Sr 87.62 Sr.upf
Pd 106.42 Pd.upf
Hg 200.59 Hg.upf
ATOMIC_POSITIONS angstrom
Pb -2.701 1.274 -2.674
Sr -2.693 -2.491 -1.300
Pb -3.839 0.595 0.986
Pd -1.779 2.017 -0.179
Hg 0.000 0.000 0.000
Pd -4.761 -0.148 -1.508
CELL_PARAMETERS angstrom
-1.555 -1.812 -4.960
-3.832 -3.171 2.359
-1.154 6.852 0.914
```

Entry 3:
Entry from Alexandria via LeMat-Bulk: a geometry-optimized SrHgPdPb2 structure (GGA-PBE). Values from VASP.

The formation energy comes out at -1.08 eV per formula unit. The total energy is -15.7 eV for the cell shown. Its space group is P4mm, No. 99. For the mass density, the calculation gives 8.111 g/cm3.

Cell and atoms, written as Quantum ESPRESSO input:
```
&SYSTEM
  ibrav = 0, nat = 5, ntyp = 4
/
ATOMIC_SPECIES
Pd 106.42 Pd.upf
Hg 200.59 Hg.upf
Pb 207.20 Pb.upf
Sr 87.62 Sr.upf
ATOMIC_POSITIONS angstrom
Pd 0.000 0.000 0.158
Hg 2.653 2.653 3.374
Pb 2.653 5.306 5.554
Pb 0.000 2.653 5.555
Sr 0.000 5.306 3.005
CELL_PARAMETERS angstrom
5.306 0.000 0.000
0.000 5.306 0.000
0.000 0.000 5.882
```